8
Lattice="4.8391 -0.0137 0.0001 -0.9294 5.0012 -0.0099 -1.7598 -0.6341 5.3605" Properties=species:S:1:pos:R:3 comment="meta-GGA SCAN AlAg, single point on PBEsol structure" total_magnetization_mub_per_fu=0.00 delta_e_f_ev_per_fu=-0.12 pbc="T T T"
Ag -0.9268 4.9898 0.0154
Ag 2.9943 4.6294 2.6324
Ag 0.6737 0.7295 4.7339
Ag -1.7559 2.0648 3.9729
Al -0.8928 2.3190 1.3290
Al 1.4789 3.6672 0.6575
Al 1.4995 0.9827 2.0395
Al 0.6398 3.3634 3.3322



4
Lattice="2.8445 0.0000 0.0000 0.0000 4.7938 0.0000 0.0000 0.0000 4.8282" Properties=species:S:1:pos:R:3 comment="meta-GGA SCAN Al3Ag, single point on PBEsol structure" total_magnetization_mub_per_fu=0.03 delta_e_f_ev_per_fu=0.14 pbc="T T T"
Al 0.0000 2.3969 1.6210
Al 1.4223 0.0000 2.3981
Al 1.4223 2.3969 4.0216
Ag 0.0000 0.0000 0.0062



5
Lattice="-0.1081 -0.8438 4.2527 -3.5557 -0.5746 -2.4158 1.4737 -5.0577 -0.9661" Properties=species:S:1:pos:R:3 comment="meta-GGA SCAN Al3Ag2, single point on PBEsol structure" total_magnetization_mub_per_fu=0.00 delta_e_f_ev_per_fu=-0.28 e_above_lowest_polymorph_mev_per_atom=29 pbc="T T T"
Al -0.3026 -4.0304 1.4041
Al -1.8874 -2.4458 -0.5332
Al 0.0000 0.0000 0.0000
Ag -1.1839 -4.8603 -0.9945
Ag -1.0062 -1.6158 1.8653



9
Lattice="3.9486 0.0000 0.0000 -1.9743 4.6249 -0.0140 0.0000 -2.5050 7.9717" Properties=species:S:1:pos:R:3 comment="meta-GGA SCAN Al5Ag4, single point on PBEsol structure" total_magnetization_mub_per_fu=0.00 delta_e_f_ev_per_fu=-0.62 e_above_lowest_polymorph_mev_per_atom=3 pbc="T T T"
Al 1.9743 0.1023 4.4183
Al 0.0000 -1.6286 5.3014
Al 1.9743 -0.6202 7.1541
Al 0.0000 1.1510 6.2049
Al 1.9743 3.7349 2.5449
Ag 1.9743 0.9336 1.8279
Ag 0.0000 1.9543 3.6362
Ag 0.0000 -2.4615 7.8534
Ag 0.0000 2.8090 0.8615



4
Lattice="-0.7421 -2.8437 0.3966 1.9920 -1.0314 -3.6681 4.7546 0.6406 2.4020" Properties=species:S:1:pos:R:3 comment="meta-GGA SCAN AlAg, single point on PBEsol structure" total_magnetization_mub_per_fu=0.00 delta_e_f_ev_per_fu=-0.14 pbc="T T T"
Ag 1.8575 -2.3263 -2.1171
Ag 4.1471 -0.9082 1.2475
Al 1.9186 -0.5110 -0.0744
Al 4.0860 -2.7235 -0.7952



6
Lattice="2.9224 0.0000 0.0000 -1.4612 5.1756 -0.0168 0.0000 -1.4934 6.4136" Properties=species:S:1:pos:R:3 comment="meta-GGA SCAN AlAg2, single point on PBEsol structure" total_magnetization_mub_per_fu=0.00 delta_e_f_ev_per_fu=-0.32 pbc="T T T"
Ag 0.0000 2.4810 4.2080
Ag 1.4612 0.0743 4.6651
Ag 1.4612 5.0390 0.0514
Ag 1.4612 1.2934 2.0507
Al 0.0000 2.7516 0.2866
Al 1.4612 4.1021 2.5728



8
Lattice="5.6761 0.0000 0.0000 2.8381 4.9157 0.0000 2.8381 1.6386 4.6345" Properties=species:S:1:pos:R:3 comment="meta-GGA SCAN AlAg, single point on PBEsol structure" total_magnetization_mub_per_fu=0.00 delta_e_f_ev_per_fu=-0.08 pbc="T T T"
Al 7.0951 4.0964 2.8966
Al 5.6761 3.2771 0.5793
Al 4.2571 4.0964 2.8966
Al 5.6761 1.6386 2.8966
Ag 4.2571 0.8193 0.5793
Ag 2.8381 3.2771 0.5793
Ag 1.4190 0.8193 0.5793
Ag 2.8381 1.6386 2.8966



4
Lattice="2.9278 0.0000 0.0000 0.0000 4.8531 0.0117 0.0000 -1.6359 4.5691" Properties=species:S:1:pos:R:3 comment="meta-GGA SCAN Al3Ag, single point on PBEsol structure" total_magnetization_mub_per_fu=0.00 delta_e_f_ev_per_fu=-0.10 pbc="T T T"
Al 0.0000 1.6086 2.2904
Al 1.4639 -0.8179 2.2845
Al 1.4639 2.4266 0.0059
Ag 0.0000 0.0000 0.0000



6
Lattice="-0.9281 0.5288 -2.6626 -1.2582 -2.5772 -0.0733 -9.9812 4.7473 4.4220" Properties=species:S:1:pos:R:3 comment="meta-GGA SCAN AlAg2, single point on PBEsol structure" total_magnetization_mub_per_fu=0.00 delta_e_f_ev_per_fu=-0.07 pbc="T T T"
Ag -3.2020 -0.0649 1.1032
Ag -1.3066 0.6652 -0.9580
Ag -9.7678 3.0580 4.0121
Ag -7.8724 3.7880 1.9509
Al -6.4446 1.4774 2.5398
Al -4.6298 2.2458 0.5143



8
Lattice="-1.4055 -2.4169 2.8756 3.4681 0.3843 2.0181 -2.9786 6.3776 3.9044" Properties=species:S:1:pos:R:3 comment="meta-GGA SCAN Al3Ag, single point on PBEsol structure" total_magnetization_mub_per_fu=0.00 delta_e_f_ev_per_fu=-0.07 pbc="T T T"
Al 2.2206 1.1029 2.0123
Al -1.7311 5.6590 3.9102
Al -1.6898 2.8575 4.3727
Al -0.7048 4.6534 6.3636
Al -0.2112 -0.3084 2.4345
Al 0.7738 1.4875 4.4254
Ag 0.7328 4.2885 3.9626
Ag -0.2433 2.4733 1.9599



12
Lattice="-2.5554 -2.1669 2.1903 -0.5649 -2.4678 -3.1006 10.6618 -4.5597 4.2704" Properties=species:S:1:pos:R:3 comment="meta-GGA SCAN AlAg2, single point on PBEsol structure" total_magnetization_mub_per_fu=0.00 delta_e_f_ev_per_fu=-0.28 pbc="T T T"
Ag 4.5516 -3.4392 1.9080
Ag -1.2769 -1.0841 1.0955
Ag 7.8231 -7.9598 4.9100
Ag 1.7209 -3.3492 2.3521
Ag 7.5494 -5.7042 3.1646
Ag 2.9898 -5.7552 1.4521
Ag -0.0080 -3.4901 0.1955
Ag 4.8253 -5.6948 3.6534
Al 5.7580 -5.7980 0.9818
Al 2.7787 -3.5468 -0.2671
Al 1.4897 -1.1256 0.6244
Al 6.0518 -8.0688 2.7357



11
Lattice="3.8577 0.0000 0.0000 1.9288 4.6113 0.0327 1.9288 1.6129 9.9458" Properties=species:S:1:pos:R:3 comment="meta-GGA SCAN Al5Ag6, single point on PBEsol structure" total_magnetization_mub_per_fu=0.01 delta_e_f_ev_per_fu=-0.88 e_above_lowest_polymorph_mev_per_atom=3 pbc="T T T"
Al 5.7865 3.5906 6.3193
Al 0.0000 0.0000 0.0000
Al 1.9288 2.6336 3.6592
Al 5.7865 4.4540 9.0243
Al 1.9288 1.7702 0.9542
Ag 3.8577 3.5272 1.7257
Ag 3.8577 0.8259 2.6495
Ag 3.8577 5.3983 7.3290
Ag 3.8577 2.6970 8.2529
Ag 3.8577 4.4549 4.5295
Ag 3.8577 1.7693 5.4491



6
Lattice="2.8958 0.0000 0.0000 -1.4479 2.5078 0.0000 0.0000 0.0000 13.4112" Properties=species:S:1:pos:R:3 comment="meta-GGA SCAN AlAg2, single point on PBEsol structure" total_magnetization_mub_per_fu=0.00 delta_e_f_ev_per_fu=-0.21 pbc="T T T"
Ag 0.0000 1.6719 9.0480
Ag 1.4479 0.8359 4.3632
Ag 0.0000 0.0000 6.7056
Ag 0.0000 0.0000 0.0000
Al 0.0000 1.6719 2.2107
Al 1.4479 0.8359 11.2005



6
Lattice="-2.3220 2.3096 3.0583 -1.8465 -0.9431 -3.9724 -2.0089 -4.7491 2.0613" Properties=species:S:1:pos:R:3 comment="meta-GGA SCAN AlAg2, single point on PBEsol structure" total_magnetization_mub_per_fu=0.00 delta_e_f_ev_per_fu=-0.29 pbc="T T T"
Ag -2.5072 -1.0461 -1.1135
Ag -3.6701 -2.3364 2.2607
Ag 0.0000 0.0000 0.0000
Ag -1.0044 -2.3745 1.0307
Al -2.6657 0.0381 1.2301
Al -3.5117 -3.4207 -0.0829



10
Lattice="-1.7568 -2.0572 1.1699 1.7872 -4.3264 -4.9240 5.5537 -1.2822 6.0851" Properties=species:S:1:pos:R:3 comment="meta-GGA SCAN Al2Ag3, single point on PBEsol structure" total_magnetization_mub_per_fu=0.00 delta_e_f_ev_per_fu=-0.41 e_above_lowest_polymorph_mev_per_atom=16 pbc="T T T"
Ag 0.0242 -0.0213 -0.0012
Ag 1.8723 -1.9818 -0.6732
Ag 3.6548 -4.0044 -1.5532
Ag 5.4181 -3.5355 1.9193
Ag 4.6442 -5.8689 0.3667
Ag 0.8820 -4.1507 -2.2616
Al 3.6863 -1.6214 2.6845
Al 2.8084 -3.8695 1.1258
Al 4.7082 -3.5037 4.6220
Al 0.9433 -1.8247 1.9207



8
Lattice="2.9249 0.0000 0.0000 1.4625 5.8238 -0.0202 1.4625 0.1591 7.5390" Properties=species:S:1:pos:R:3 comment="meta-GGA SCAN Al3Ag5, single point on PBEsol structure" total_magnetization_mub_per_fu=0.00 delta_e_f_ev_per_fu=-0.85 e_above_lowest_polymorph_mev_per_atom=7 pbc="T T T"
Ag 1.4625 2.9915 3.7594
Ag 1.4625 3.7224 0.9458
Ag 2.9249 4.6369 5.6438
Ag 2.9249 1.3461 1.8750
Ag 4.3874 2.2605 6.5730
Al 2.9249 0.8916 4.6818
Al 2.9249 5.0913 2.8370
Al 1.4625 0.0000 0.0000



6
Lattice="-2.6867 0.8973 0.4371 1.5091 -1.1143 2.1669 4.6712 12.4523 3.1503" Properties=species:S:1:pos:R:3 comment="meta-GGA SCAN Al5Ag, single point on PBEsol structure" total_magnetization_mub_per_fu=0.02 delta_e_f_ev_per_fu=-0.20 e_above_lowest_polymorph_mev_per_atom=0 pbc="T T T"
Al 0.2595 4.3523 2.0574
Al 3.2341 7.8830 3.6969
Al 2.3356 6.2262 1.5752
Al 0.8769 1.5992 2.1071
Al 2.6167 10.6361 3.6471
Ag 0.0000 0.0000 0.0000



29
Lattice="8.5680 0.0000 0.0000 -2.8560 8.0780 0.0000 -2.8560 -4.0390 6.9957" Properties=species:S:1:pos:R:3 comment="meta-GGA SCAN Al17Ag12, single point on PBEsol structure" total_magnetization_mub_per_fu=0.00 delta_e_f_ev_per_fu=-0.61 pbc="T T T"
Al 3.1732 4.4876 1.9094
Al 0.3172 0.4486 5.0863
Al 3.8358 1.6926 2.9316
Al -2.5388 3.4488 2.1547
Al 0.9798 4.6928 0.0000
Al 0.0000 0.0000 0.0000
Al 1.9158 2.7094 4.6929
Al -0.9401 -1.3296 2.3029
Al -2.5388 0.1416 4.0641
Al 0.9798 -2.3464 4.0641
Al 3.1732 -0.5902 4.8410
Al -1.6142 2.7950 4.8410
Al -0.9401 2.6591 0.0000
Al 0.3172 4.1806 2.9316
Al 4.0978 2.4880 0.0000
Al 2.8204 0.0000 0.0000
Al 4.0978 -1.2440 2.1547
Ag -4.0199 4.0308 4.2373
Ag -1.1639 -1.6461 5.6236
Ag 2.8996 6.4772 0.0000
Ag -0.5717 1.5926 2.7584
Ag 5.1403 4.8928 0.0000
Ag 1.6920 2.3929 1.3722
Ag -1.1639 5.6932 1.3863
Ag -4.0199 1.6542 5.6095
Ag 2.8996 -3.2386 5.6095
Ag 5.7556 0.8004 1.3863
Ag 5.1403 -2.4464 4.2373
Ag 1.6920 -0.0081 2.7584



8
Lattice="-0.0405 2.3707 -3.2174 -3.9954 -0.0996 -0.0231 1.8260 5.4397 6.4675" Properties=species:S:1:pos:R:3 comment="meta-GGA SCAN Al5Ag3, single point on PBEsol structure" total_magnetization_mub_per_fu=0.02 delta_e_f_ev_per_fu=-0.15 e_above_lowest_polymorph_mev_per_atom=53 pbc="T T T"
Al -2.1136 4.4136 0.7963
Al -2.0457 1.5953 1.2012
Al -0.0962 3.2972 2.4306
Al -2.0179 1.1355 -1.6203
Al -2.1416 4.8804 3.6229
Ag -0.1641 6.1149 2.0253
Ag 0.0000 0.0000 0.0000
Ag -0.0683 2.8310 -0.3955



12
Lattice="-3.9261 3.4549 2.1257 -1.9306 -3.5765 4.8144 1.6145 3.1211 5.3005" Properties=species:S:1:pos:R:3 comment="meta-GGA SCAN Al7Ag5, single point on PBEsol structure" total_magnetization_mub_per_fu=0.02 delta_e_f_ev_per_fu=-0.65 e_above_lowest_polymorph_mev_per_atom=19 pbc="T T T"
Al -1.4554 -0.8237 5.3293
Al -2.6799 1.3501 3.6911
Al -3.5648 3.3844 9.5947
Al -3.3417 0.9592 6.3772
Al -0.8616 2.0445 5.8101
Al -0.6729 -0.3883 2.6606
Al -4.0324 0.6215 9.1311
Ag -1.5344 1.7231 8.4590
Ag -2.9519 3.7139 6.9190
Ag -5.7645 -0.1226 6.9922
Ag -0.3542 4.7937 6.3489
Ag -2.1330 -1.1074 8.0083